Here is an optimized crystal structure of DyFeAs2O8 from the Alexandria database. Energies are from PBE+U.

POSCAR file:
```
DyFeAs2O8
1.0
5.821 0.043 0.000
-2.543 5.236 0.000
-1.639 -2.639 4.923
As O Fe Dy
2 8 1 1
Cartesian
1.639 2.639 0.000 As
2.910 0.021 2.461 As
-0.202 1.442 3.991 O
0.257 2.180 0.932 O
4.280 0.561 1.583 O
3.020 3.098 0.932 O
1.541 -0.518 1.583 O
0.202 -1.442 3.991 O
3.034 -1.445 3.340 O
2.787 1.488 3.340 O
-1.272 2.618 2.461 Fe
0.000 0.000 0.000 Dy
```

Results
D(E_F): 0.00 states/eV/cell
Calculated total energy: -6.69 eV per atom
Theoretical density: 5.47 g cm⁻³
SG: No. 119
Magnetization: 5.047 μB per formula unit